Sr2LiP2 | PBE | optimized geometry

Properties
- energy of formation from the pure elements (meV/atom) = -549
- symmetry = P4/mbm, No. 127
- energy above the lowest structure with this stoichiometry (meV per atom) = 170
- energy (eV/atom) = -3.77

a b c (Å): 8.685 8.685 3.527
angles (deg): 90.00 90.00 90.00
Fractional positions:
Sr1 0.135 0.365 0.000
Sr2 0.365 0.865 0.000
Sr3 0.635 0.135 0.000
Sr4 0.865 0.635 0.000
Li1 0.000 0.000 0.000
Li2 0.500 0.500 0.000
P1 0.167 0.667 0.500
P2 0.333 0.167 0.500
P3 0.667 0.833 0.500
P4 0.833 0.333 0.500